# TcWCl2 GGA-PBEsol relaxed
# Energy in eV per atom: -6.170
data_TcWCl2
_cell_length_a 4.259
_cell_length_b 4.259
_cell_length_c 6.065
_cell_angle_alpha 90.00
_cell_angle_beta 90.00
_cell_angle_gamma 90.00
_symmetry_space_group_name_H-M 'I 4/m m m'
_symmetry_Int_Tables_number 139
_symmetry_space_group_name_Hall '-I 4 2'
loop_
_atom_site_label
_atom_site_fract_x
_atom_site_fract_y
_atom_site_fract_z
Tc1 0.000 0.000 0.000
W1 0.000 0.000 0.500
Cl1 0.000 0.500 0.250

---

# Tc2WCl GGA-PBEsol relaxed
# Energy in eV per atom: -8.569
data_Tc2WCl
_cell_length_a 3.669
_cell_length_b 3.669
_cell_length_c 8.685
_cell_angle_alpha 90.00
_cell_angle_beta 90.00
_cell_angle_gamma 90.00
_symmetry_space_group_name_H-M 'I -4 m 2'
_symmetry_Int_Tables_number 119
_symmetry_space_group_name_Hall 'I -4 -2'
loop_
_atom_site_label
_atom_site_fract_x
_atom_site_fract_y
_atom_site_fract_z
Tc1 0.000 0.000 0.000
Tc2 0.000 0.500 0.250
W1 0.000 0.000 0.500
Cl1 0.000 0.500 0.750

---

# Tc2WCl GGA-PBEsol relaxed
# Energy in eV per atom: -8.994
data_Tc2WCl
_cell_length_a 9.623
_cell_length_b 2.871
_cell_length_c 4.290
_cell_angle_alpha 90.00
_cell_angle_beta 90.32
_cell_angle_gamma 90.00
_symmetry_space_group_name_H-M 'C 1 2/m 1'
_symmetry_Int_Tables_number 12
loop_
_symmetry_equiv_pos_as_xyz
'x,y,z'
'-x,-y,-z'
'-x,y,-z'
'x,-y,z'
'x+1/2,y+1/2,z'
'-x+1/2,-y+1/2,-z'
'-x+1/2,y+1/2,-z'
'x+1/2,-y+1/2,z'
loop_
_atom_site_label
_atom_site_fract_x
_atom_site_fract_y
_atom_site_fract_z
Tc1 0.216 0.000 0.229
W1 0.000 0.500 0.000
Cl1 0.000 0.000 0.500

---

# TcWCl2 GGA-PBEsol relaxed
# Energy in eV per atom: -6.506
data_TcWCl2
_cell_length_a 2.774
_cell_length_b 4.258
_cell_length_c 5.423
_cell_angle_alpha 90.00
_cell_angle_beta 102.99
_cell_angle_gamma 90.00
_symmetry_space_group_name_H-M 'P 1 2/m 1'
_symmetry_Int_Tables_number 10
loop_
_symmetry_equiv_pos_as_xyz
'x,y,z'
'-x,-y,-z'
'-x,y,-z'
'x,-y,z'
loop_
_atom_site_label
_atom_site_fract_x
_atom_site_fract_y
_atom_site_fract_z
Tc1 0.000 0.000 0.000
W1 0.500 0.000 0.500
Cl1 0.256 0.500 0.251

---

# YTcCl2 GGA-PBEsol relaxed
# Energy in eV per atom: -6.164
data_YTcCl2
_cell_length_a 3.4517
_cell_length_b 3.4517
_cell_length_c 25.6048
_cell_angle_alpha 90.00
_cell_angle_beta 90.00
_cell_angle_gamma 120.00
_symmetry_space_group_name_H-M 'R 3 m'
_symmetry_Int_Tables_number 160
_symmetry_space_group_name_Hall 'R 3 -2"'
loop_
_atom_site_label
_atom_site_fract_x
_atom_site_fract_y
_atom_site_fract_z
Y1 0.0000 0.0000 0.0000
Tc1 0.0000 0.0000 0.2434
Cl1 0.0000 0.0000 0.5284
Cl2 0.0000 0.0000 0.7377

---

# Y2TcCl GGA-PBEsol relaxed
# Energy in eV per atom: -7.414
data_Y2TcCl
_cell_length_a 3.359
_cell_length_b 3.359
_cell_length_c 7.625
_cell_angle_alpha 90.00
_cell_angle_beta 90.00
_cell_angle_gamma 90.00
_symmetry_space_group_name_H-M 'P 4/m m m'
_symmetry_Int_Tables_number 123
_symmetry_space_group_name_Hall '-P 4 2'
loop_
_atom_site_label
_atom_site_fract_x
_atom_site_fract_y
_atom_site_fract_z
Y1 0.000 0.000 0.214
Tc1 0.500 0.500 0.000
Cl1 0.500 0.500 0.500

---

# YTc2Cl GGA-PBEsol relaxed
# Energy in eV per atom: -7.810
data_YTc2Cl
_cell_length_a 3.576
_cell_length_b 3.576
_cell_length_c 11.224
_cell_angle_alpha 90.00
_cell_angle_beta 90.00
_cell_angle_gamma 90.00
_symmetry_space_group_name_H-M 'I 4/m m m'
_symmetry_Int_Tables_number 139
_symmetry_space_group_name_Hall '-I 4 2'
loop_
_atom_site_label
_atom_site_fract_x
_atom_site_fract_y
_atom_site_fract_z
Y1 0.000 0.000 0.000
Tc1 0.000 0.500 0.250
Cl1 0.000 0.000 0.500

---

# YTc2Cl2 GGA-PBEsol relaxed
# Energy in eV per atom: -6.455
data_YTc2Cl2
_cell_length_a 4.035
_cell_length_b 4.035
_cell_length_c 10.428
_cell_angle_alpha 90.00
_cell_angle_beta 90.00
_cell_angle_gamma 90.00
_symmetry_space_group_name_H-M 'I 4/m m m'
_symmetry_Int_Tables_number 139
_symmetry_space_group_name_Hall '-I 4 2'
loop_
_atom_site_label
_atom_site_fract_x
_atom_site_fract_y
_atom_site_fract_z
Y1 0.000 0.000 0.000
Tc1 0.000 0.500 0.250
Cl1 0.000 0.000 0.366

---

# YTc2Cl GGA-PBEsol relaxed
# Energy in eV per atom: -7.804
data_YTc2Cl
_cell_length_a 3.569
_cell_length_b 3.569
_cell_length_c 5.650
_cell_angle_alpha 90.00
_cell_angle_beta 90.00
_cell_angle_gamma 90.00
_symmetry_space_group_name_H-M 'P 4/m m m'
_symmetry_Int_Tables_number 123
_symmetry_space_group_name_Hall '-P 4 2'
loop_
_atom_site_label
_atom_site_fract_x
_atom_site_fract_y
_atom_site_fract_z
Y1 0.000 0.000 0.000
Tc1 0.000 0.500 0.500
Cl1 0.500 0.500 0.000

---

# YTc2Cl GGA-PBEsol relaxed
# Energy in eV per atom: -7.417
data_YTc2Cl
_cell_length_a 4.933
_cell_length_b 4.933
_cell_length_c 5.474
_cell_angle_alpha 90.00
_cell_angle_beta 90.00
_cell_angle_gamma 90.00
_symmetry_space_group_name_H-M 'I -4 m 2'
_symmetry_Int_Tables_number 119
_symmetry_space_group_name_Hall 'I -4 -2'
loop_
_atom_site_label
_atom_site_fract_x
_atom_site_fract_y
_atom_site_fract_z
Y1 0.000 0.000 0.000
Tc1 0.000 0.000 0.500
Tc2 0.000 0.500 0.750
Cl1 0.000 0.500 0.250

---

# Y2TcCl GGA-PBEsol relaxed
# Energy in eV per atom: -7.144
data_Y2TcCl
_cell_length_a 7.484
_cell_length_b 7.295
_cell_length_c 3.220
_cell_angle_alpha 90.00
_cell_angle_beta 106.63
_cell_angle_gamma 90.00
_symmetry_space_group_name_H-M 'C 1 2/m 1'
_symmetry_Int_Tables_number 12
loop_
_symmetry_equiv_pos_as_xyz
'x,y,z'
'-x,-y,-z'
'-x,y,-z'
'x,-y,z'
'x+1/2,y+1/2,z'
'-x+1/2,-y+1/2,-z'
'-x+1/2,y+1/2,-z'
'x+1/2,-y+1/2,z'
loop_
_atom_site_label
_atom_site_fract_x
_atom_site_fract_y
_atom_site_fract_z
Y1 0.250 0.250 0.000
Tc1 0.000 0.000 0.500
Cl1 0.000 0.500 0.500

---

# YTc2Cl GGA-PBEsol relaxed
# Energy in eV per atom: -8.154
data_YTc2Cl
_cell_length_a 3.065
_cell_length_b 3.084
_cell_length_c 14.981
_cell_angle_alpha 90.00
_cell_angle_beta 90.00
_cell_angle_gamma 90.00
_symmetry_space_group_name_H-M 'A m m 2'
_symmetry_Int_Tables_number 38
loop_
_symmetry_equiv_pos_as_xyz
'x,y,z'
'-x,-y,z'
'-x,y,z'
'x,-y,z'
'x,y+1/2,z+1/2'
'-x,-y+1/2,z+1/2'
'-x,y+1/2,z+1/2'
'x,-y+1/2,z+1/2'
loop_
_atom_site_label
_atom_site_fract_x
_atom_site_fract_y
_atom_site_fract_z
Y1 0.000 0.000 0.000
Tc1 0.000 0.000 0.226
Tc2 0.500 0.000 0.639
Cl1 0.500 0.000 0.375

---

| no. | raw formation energy (meV/atom) |
| --- | --- |
| 1 | 1102 |
| 2 | 1018 |
| 3 | 593 |
| 4 | 766 |
| 5 | -638 |
| 6 | -685 |
| 7 | 31 |
| 8 | 219 |
| 9 | 37 |
| 10 | 423 |
| 11 | -415 |
| 12 | -313 |